A geometry-optimized AlRuBr2 structure. Source: the Alexandria database, functional GGA-PBE.

Results
crystal system	tetragonal
E above lowest polymorph	3.245	eV per formula unit

Lattice parameters (Å, degrees): 6.510 6.510 7.317 63.59 63.59 90.00
Fractional coordinates of all 8 atoms:
Al: 0.250 0.750 0.500
Al: 0.500 0.500 0.000
Br: 0.053 0.625 0.250
Br: 0.875 0.947 0.750
Br: 0.375 0.303 0.750
Br: 0.697 0.125 0.250
Ru: 0.000 0.000 0.000
Ru: 0.750 0.250 0.500



A geometry-optimized LiTc2Cl structure. Source: the Alexandria database, functional GGA-PBE.

Results
crystal system	orthorhombic
E above lowest polymorph	3.289	eV per formula unit

Lattice parameters (Å, degrees): 2.788 4.814 4.893 90.00 90.00 90.00
Fractional coordinates of all 4 atoms:
Li: 0.500 0.500 0.750
Cl: 0.500 0.500 0.250
Tc: 0.000 0.000 0.527
Tc: 0.000 0.000 0.973



| no. | E_form (uncorrected) (meV/atom) | Fermi-level density of states (states/eV per atom) | total magnetization (μB/atom) |
| --- | --- | --- | --- |
| 1 | 604 | 0.81 | 0.00 |
| 2 | 638 | 0.84 | 0.00 |